# 1
# YBI3 | Alexandria | GGA-PBE | optimized geometry
data_YBI3
_chemical_formula_sum 'Y1 B1 I3'
_symmetry_space_group_name_H-M 'P m -3 m'
_symmetry_Int_Tables_number 221
_symmetry_space_group_name_Hall '-P 4 2 3'
_cell_length_a 6.015
_cell_length_b 6.015
_cell_length_c 6.015
_cell_angle_alpha 90.00
_cell_angle_beta 90.00
_cell_angle_gamma 90.00
loop_
_atom_site_label
_atom_site_type_symbol
_atom_site_fract_x
_atom_site_fract_y
_atom_site_fract_z
Y1 Y 0.000 0.000 0.000
B1 B 0.500 0.500 0.500
I1 I 0.000 0.000 0.500
# energy relative to the elements, uncorrected: 0.215 eV per atom

---

# 2
# Y2BI | Alexandria | GGA-PBE | optimized geometry
data_Y2BI
_chemical_formula_sum 'Y8 B4 I4'
_symmetry_space_group_name_H-M 'F m -3 m'
_symmetry_Int_Tables_number 225
_symmetry_space_group_name_Hall '-F 4 2 3'
_cell_length_a 7.169
_cell_length_b 7.169
_cell_length_c 7.169
_cell_angle_alpha 90.00
_cell_angle_beta 90.00
_cell_angle_gamma 90.00
loop_
_atom_site_label
_atom_site_type_symbol
_atom_site_fract_x
_atom_site_fract_y
_atom_site_fract_z
Y1 Y 0.250 0.250 0.250
B1 B 0.000 0.000 0.000
I1 I 0.000 0.000 0.500
# energy relative to the elements, uncorrected: 0.147 eV per atom

---

# 3
# Y2BI | Alexandria | GGA-PBE | optimized geometry
data_Y2BI
_chemical_formula_sum 'Y6 B3 I3'
_symmetry_space_group_name_H-M 'R -3 m'
_symmetry_Int_Tables_number 166
_symmetry_space_group_name_Hall '-R 3 2"'
_cell_length_a 3.9618
_cell_length_b 3.9618
_cell_length_c 22.4296
_cell_angle_alpha 90.00
_cell_angle_beta 90.00
_cell_angle_gamma 120.00
loop_
_atom_site_label
_atom_site_type_symbol
_atom_site_fract_x
_atom_site_fract_y
_atom_site_fract_z
Y1 Y 0.0000 0.0000 0.2245
B1 B 0.0000 0.0000 0.5000
I1 I 0.0000 0.0000 0.0000
# energy relative to the elements, uncorrected: -0.624 eV per atom

---

Number 1: distance to the lowest polymorph of the same formula 0.0 kJ/mol of atoms. Number 2: distance to the lowest polymorph of the same formula 74.4 kJ/mol of atoms. Number 3: distance to the lowest polymorph of the same formula 0.0 kJ/mol of atoms.